[1]
VASP calculation (PBE) on a geometry-optimized TlZnAg2 structure.

Unit cell a=5.0447 b=5.0447 c=5.3332 alpha=78.26 beta=78.26 gamma=37.45
With the nearest neighbours (Å) after each atom.
Positions (direct):
Ag 0.9944 0.9944 0.0188  3 Zn 2.78-2.89, 3 Ag 2.94-2.96, 2 Tl 3.07
Zn 0.2580 0.2580 0.2009  5 Ag 2.78-2.89, 2 Tl 3.07
Tl 0.5045 0.5045 0.5046  7 Ag 2.95-3.17, 3 Zn 3.07-3.13, 2 Tl 3.24
Ag 0.7431 0.7431 0.7756  2 Zn 2.82, 3 Ag 2.94-2.96, 3 Tl 2.95-3.07

Magnetic moment ... 0.00 μB/f.u.
Formation enthalpy at 0 K ... 122 meV/atom

=====

[2]
VASP calculation (PBE) on a geometry-optimized CaTiOF2 structure.

Unit cell a=4.1745 b=4.1745 c=3.9702 alpha=90.00 beta=90.00 gamma=90.00
With the nearest neighbours (Å) after each atom.
Positions (direct):
O 0.0000 0.0000 0.5000  2 Ti 1.99
Ti 0.0000 0.0000 0.0000  2 O 1.99, 4 F 2.09
F 0.0000 0.5000 0.0000  2 Ti 2.09
Ca 0.5000 0.5000 0.5000  8 F 2.88, 4 O 2.95
F 0.5000 0.0000 0.0000  2 Ti 2.09

Magnetic moment ... 1.76 μB/f.u.
Raw formation energy ... -2704 meV/atom

=====

[3]
VASP calculation (PBE) on a geometry-optimized Pr4AsIrI2 structure.

Unit cell a=4.2233 b=7.7880 c=8.2510 alpha=106.77 beta=90.00 gamma=90.00
With the nearest neighbours (Å) after each atom.
Positions (direct):
As 0.0000 0.0000 0.0000  6 Pr 2.97-3.08
Pr 0.0000 0.7098 0.1860  2 Ir 2.84, 1 As 3.08
Pr 0.5000 0.7588 0.8057  1 Ir 2.91, 2 As 2.97
I 0.0000 0.5000 0.5000  6 Pr 3.44-3.46
Pr 0.5000 0.2412 0.1943  1 Ir 2.91, 2 As 2.97
Pr 0.0000 0.2902 0.8140  2 Ir 2.84, 1 As 3.08
Ir 0.5000 0.5000 0.0000  6 Pr 2.84-2.91
I 0.5000 0.0000 0.5000  6 Pr 3.55-3.59

Magnetic moment ... 0.00 μB/f.u.
Raw formation energy ... -1094 meV/atom

=====

[4]
VASP calculation (PBE) on a geometry-optimized AlSi2Os structure.

Unit cell a=4.8667 b=4.8667 c=4.8667 alpha=143.19 beta=123.03 gamma=69.78
With the nearest neighbours (Å) after each atom.
Positions (direct):
Os 0.2500 0.7500 0.5000  4 Si 2.51, 4 Al 2.78
Si 0.0015 0.0015 0.0000  2 Os 2.51, 2 Al 2.53, 4 Si 2.78
Si 0.4985 0.4985 0.0000  2 Os 2.51, 2 Al 2.53, 4 Si 2.78
Al 0.7500 0.2500 0.5000  4 Si 2.53, 4 Os 2.78

Magnetic moment ... 0.00 μB/f.u.
Raw formation energy ... 171 meV/atom

=====

[5]
VASP calculation (PBE) on a geometry-optimized AcPuTl6 structure.

Unit cell a=4.9073 b=4.9073 c=9.7991 alpha=90.00 beta=90.00 gamma=90.00
With the nearest neighbours (Å) after each atom.
Positions (direct):
Ac 0.0000 0.0000 0.0000  12 Tl 3.47-3.55
Tl 0.5000 0.5000 0.0000  4 Ac 3.47, 8 Tl 3.55
Pu 0.0000 0.0000 0.5000  12 Tl 3.39-3.47
Tl 0.0000 0.5000 0.2615  8 Tl 3.39-3.55, 2 Pu 3.39, 2 Ac 3.55
Tl 0.5000 0.5000 0.5000  8 Tl 3.39, 4 Pu 3.47
Tl 0.0000 0.5000 0.7385  2 Pu 3.39, 8 Tl 3.39-3.55, 2 Ac 3.55
Tl 0.5000 0.0000 0.2615  8 Tl 3.39-3.55, 2 Pu 3.39, 2 Ac 3.55
Tl 0.5000 0.0000 0.7385  8 Tl 3.39-3.55, 2 Pu 3.39, 2 Ac 3.55

Magnetic moment ... 5.68 μB/f.u.
Formation enthalpy at 0 K ... -162 meV/atom

=====

[6]
VASP calculation (PBE) on a geometry-optimized SrSnN2 structure.

Unit cell a=7.5572 b=6.2028 c=6.7613 alpha=73.93 beta=90.00 gamma=90.00
With the nearest neighbours (Å) after each atom.
Positions (direct):
N 0.3844 0.4954 0.1846  2 Sn 2.11-2.13
Sn 0.3528 0.6049 0.8626  4 N 2.10-2.13
N 0.8208 0.5544 0.2951  2 Sn 2.10
N 0.3208 0.9456 0.7049  2 Sn 2.10
N 0.1792 0.4456 0.7049  2 Sn 2.10
N 0.6156 0.5046 0.8154  2 Sn 2.11-2.13
Sr 0.8917 0.6860 0.6457  4 N 2.49-2.76
Sn 0.1472 0.1049 0.8626  4 N 2.10-2.13
N 0.6792 0.0544 0.2951  2 Sn 2.10
Sr 0.1083 0.3140 0.3543  4 N 2.49-2.76
N 0.8844 0.0046 0.8154  2 Sn 2.11-2.13
N 0.1156 0.9954 0.1846  2 Sn 2.11-2.13
Sn 0.6472 0.3951 0.1374  4 N 2.10-2.13
Sr 0.3917 0.8140 0.3543  4 N 2.49-2.76
Sn 0.8528 0.8951 0.1374  4 N 2.10-2.13
Sr 0.6083 0.1860 0.6457  4 N 2.49-2.76

Magnetic moment ... 0.00 μB/f.u.
Raw formation energy ... -285 meV/atom

=====

[7]
VASP calculation (PBE) on a geometry-optimized BaPuFeN3 structure.

Unit cell a=3.4916 b=7.6600 c=7.8045 alpha=104.13 beta=90.00 gamma=90.00
With the nearest neighbours (Å) after each atom.
Positions (direct):
N 0.2500 0.8448 0.4550  3 Fe 1.83-1.93
Pu 0.2500 0.6563 0.1620  6 N 2.24-2.39
Ba 0.7500 0.8094 0.7840  7 N 2.84-3.17
Fe 0.2500 0.0736 0.5976  4 N 1.83-1.93
Ba 0.2500 0.1906 0.2160  7 N 2.84-3.17
Fe 0.7500 0.9264 0.4024  4 N 1.83-1.93
N 0.7500 0.1552 0.5450  3 Fe 1.83-1.93
N 0.7500 0.4557 0.1318  3 Pu 2.24-2.30
N 0.2500 0.1490 0.8439  1 Fe 1.87
Pu 0.7500 0.3437 0.8380  6 N 2.24-2.39
N 0.2500 0.5443 0.8682  3 Pu 2.24-2.30
N 0.7500 0.8510 0.1561  1 Fe 1.87

Magnetic moment ... 3.38 μB/f.u.
Raw formation energy ... -713 meV/atom

=====

[8]
VASP calculation (PBE) on a geometry-optimized UTeN structure.

Unit cell a=4.7154 b=3.8057 c=3.8057 alpha=120.00 beta=90.00 gamma=90.00
With the nearest neighbours (Å) after each atom.
Positions (direct):
Te 0.6667 0.6667 0.3333  6 U 3.22, 6 N 3.22
U 0.1666 0.0000 0.0000  3 N 2.20
N 0.1667 0.3333 0.6667  3 U 2.20

Magnetic moment ... 1.03 μB/f.u.
Raw formation energy ... -1007 meV/atom

=====

[9]
VASP calculation (PBE) on a geometry-optimized MgSi structure.

Unit cell a=7.4875 b=7.4875 c=7.4875 alpha=90.00 beta=90.00 gamma=90.00
With the nearest neighbours (Å) after each atom.
Positions (direct):
Mg 0.0000 0.5000 0.2500  4 Si 2.65
Si 0.7500 0.5000 0.0000  4 Mg 2.65
Si 0.5000 0.0000 0.2500  4 Mg 2.65
Si 0.0000 0.7500 0.5000  4 Mg 2.65
Mg 0.5000 0.7500 0.0000  4 Si 2.65
Mg 0.0000 0.5000 0.7500  4 Si 2.65
Si 0.0000 0.2500 0.5000  4 Mg 2.65
Mg 0.2500 0.0000 0.5000  4 Si 2.65
Si 0.2500 0.5000 0.0000  4 Mg 2.65
Mg 0.5000 0.2500 0.0000  4 Si 2.65
Mg 0.7500 0.0000 0.5000  4 Si 2.65
Si 0.5000 0.0000 0.7500  4 Mg 2.65

Magnetic moment ... 0.00 μB/f.u.
Raw formation energy ... 884 meV/atom

=====

[10]
VASP calculation (PBE) on a geometry-optimized Al2TeCl structure.

Unit cell a=3.8270 b=4.8879 c=6.8127 alpha=69.56 beta=90.00 gamma=90.00
With the nearest neighbours (Å) after each atom.
Positions (direct):
Al 0.0000 0.9220 0.0994  1 Cl 2.29
Te 0.5000 0.8014 0.8552  3 Al 2.68-2.73
Al 0.5000 0.2787 0.1620  1 Te 2.68, 2 Al 2.72, 2 Cl 2.87
Cl 0.0000 0.4980 0.3833  1 Al 2.29

Magnetic moment ... 0.00 μB/f.u.
Raw formation energy ... -431 meV/atom

=====

[11]
VASP calculation (PBE) on a geometry-optimized Ac6GaCo2 structure.

Unit cell a=9.1163 b=9.1163 c=9.1163 alpha=107.09 beta=108.66 gamma=112.71
With the nearest neighbours (Å) after each atom.
Positions (direct):
Co 0.3334 0.0000 0.3334  6 Ac 2.94-3.15
Ac 0.1919 0.7670 0.9590  1 Co 2.94, 1 Ga 3.25
Ac 0.4643 0.2861 0.1782  3 Co 3.10-3.33, 1 Ga 3.46
Co 0.5000 0.3928 0.8928  1 Co 2.32
Ac 0.8081 0.2330 0.0410  1 Co 2.94, 1 Ga 3.25
Ac 0.5357 0.7139 0.8218  3 Co 3.10-3.33, 1 Ga 3.46
Ac 0.3185 0.9899 0.6714  3 Co 3.02-3.15
Ac 0.8921 0.7139 0.1782  3 Co 3.10-3.33, 1 Ga 3.46
Ac 0.6815 0.3530 0.6714  3 Co 3.02-3.15
Co 0.5000 0.6072 0.1072  1 Co 2.32
Ac 0.3185 0.6470 0.3286  3 Co 3.02-3.15
Ac 0.6815 0.0101 0.3286  3 Co 3.02-3.15
Ac 0.1079 0.2861 0.8218  3 Co 3.10-3.33, 1 Ga 3.46
Co 0.6666 0.0000 0.6666  6 Ac 2.94-3.15
Ac 0.1919 0.2330 0.4249  1 Co 2.94, 1 Ga 3.25
Ga 0.0000 0.0000 0.0000  8 Ac 3.25-3.46, 2 Co 3.54
Ac 0.8081 0.7670 0.5751  1 Co 2.94, 1 Ga 3.25
Ga 0.0000 0.5000 0.5000  8 Ac 3.54-3.71

Magnetic moment ... 0.00 μB/f.u.
Formation enthalpy at 0 K ... -101 meV/atom

=====

[12]
VASP calculation (PBE) on a geometry-optimized Rb2Sn2Te2Se structure.

Unit cell a=5.0266 b=8.3597 c=8.6770 alpha=61.46 beta=89.90 gamma=72.66
With the nearest neighbours (Å) after each atom.
Positions (direct):
Te 0.8439 0.3133 0.4217  3 Sn 2.93-3.24
Sn 0.8033 0.3923 0.7168  1 Se 2.85, 1 Te 2.93
Te 0.1561 0.6867 0.5783  3 Sn 2.93-3.24
Se 0.0000 0.0000 0.0000  2 Sn 2.85
Rb 0.4558 0.0886 0.2260  2 Se 3.47
Rb 0.5442 0.9114 0.7740  2 Se 3.47
Sn 0.1967 0.6077 0.2832  1 Se 2.85, 1 Te 2.93

Magnetic moment ... 0.00 μB/f.u.
Raw formation energy ... -615 meV/atom

=====

magnetic moment of number 12 (Rb2Sn2Te2Se)? 0.00 μB/f.u.

=====

Which of these has the highest magnetic moment? AcPuTl6